A geometry-optimized Cu2AsP structure. Source: Alexandria, functional PBE.

Cell lengths 2.626, 3.603, 6.790 Å; angles 90.00, 90.00, 90.00 degrees
Atoms (fractional coordinates):
As: 0.500 0.500 0.830
Cu: 0.000 0.000 0.029
P: 0.000 0.000 0.396
Cu: 0.500 0.500 0.245

Output
- energy above the most stable polymorph in this dataset (meV/atom) = 48
- spin magnetization (μB per formula unit) = 0.000
- SG = Pmm2

---

A geometry-optimized Cu2AsP structure. Source: Alexandria, functional PBE.

Cell lengths 2.761, 3.065, 7.215 Å; angles 90.05, 90.00, 90.00 degrees
Atoms (fractional coordinates):
P: 0.500 0.250 0.250
Cu: 0.000 0.749 0.051
Cu: 0.000 0.751 0.449
As: 0.500 0.750 0.750

Output
- energy above the most stable polymorph in this dataset (meV/atom) = 103
- spin magnetization (μB per formula unit) = 0.000
- SG = Pmmm

---

A geometry-optimized Cu2AsP structure. Source: Alexandria, functional PBE.

Cell lengths 3.296, 5.130, 4.964 Å; angles 44.83, 90.00, 90.00 degrees
Atoms (fractional coordinates):
Cu: 0.000 0.000 0.000
As: 0.000 0.000 0.500
P: 0.500 0.500 0.500
Cu: 0.500 0.500 0.000

Output
- energy above the most stable polymorph in this dataset (meV/atom) = 98
- spin magnetization (μB per formula unit) = 0.000
- SG = P2/m

---

A geometry-optimized Cu2AsP structure. Source: Alexandria, functional PBE.

Cell lengths 4.593, 4.593, 4.593 Å; angles 128.16, 128.16, 76.37 degrees
Atoms (fractional coordinates):
As: 0.750 0.250 0.500
P: 0.250 0.750 0.500
Cu: 0.000 0.000 0.000
Cu: 0.500 0.500 0.000

Output
- energy above the most stable polymorph in this dataset (meV/atom) = 206
- spin magnetization (μB per formula unit) = 0.000
- SG = I4/mmm

---

A geometry-optimized Cu3AsP4 structure. Source: Alexandria, functional PBE.

Cell lengths 5.270, 5.270, 5.270 Å; angles 90.00, 90.00, 90.00 degrees
Atoms (fractional coordinates):
As: 0.000 0.000 0.000
P: 0.257 0.257 0.257
Cu: 0.500 0.000 0.500
P: 0.257 0.743 0.743
Cu: 0.500 0.500 0.000
P: 0.743 0.257 0.743
P: 0.743 0.743 0.257
Cu: 0.000 0.500 0.500

Output
- energy above the most stable polymorph in this dataset (meV/atom) = 0
- spin magnetization (μB per formula unit) = 0.000
- SG = P-43m

---

A geometry-optimized Cu2AsP structure. Source: Alexandria, functional PBE.

Cell lengths 3.619, 2.631, 6.512 Å; angles 78.57, 90.00, 90.00 degrees
Atoms (fractional coordinates):
P: 0.000 0.731 0.414
Cu: 0.000 0.927 0.024
As: 0.500 0.530 0.813
Cu: 0.500 0.313 0.250

Output
- energy above the most stable polymorph in this dataset (meV/atom) = 27
- spin magnetization (μB per formula unit) = 0.000
- SG = Pm

---

Which E_form belongs to each record? In order, 0.146, 0.201, 0.196, 0.303, 0.098, 0.125 eV/atom.